(1)
ScTc2Br | GGA-PBE | relaxed

Properties
DOS(E_F)	23.48	states/eV per cell
ΔE to the lowest computed polymorph	924	meV per atom
uncorrected formation energy	753	meV/atom
E	-6.43	eV per atom

abc: 7.660 7.660 5.071
angles: 90.00 90.00 90.00
Space group I-42d (No. 122)
One atom of each set of equivalent atoms:
Sc 0.000 0.000 0.000 (multiplicity 4)
Tc 0.181 0.250 0.625 (multiplicity 8)
Br 0.000 0.000 0.500 (multiplicity 4)


(2)
Ac8Si2Ge | GGA-PBE | relaxed

Properties
DOS(E_F)	23.09	states/eV per cell
uncorrected formation energy	-250	meV/atom
E	-4.64	eV per atom

abc: 20.418 5.160 7.717
angles: 90.00 100.91 90.00
Space group C2/m (No. 12)
One atom of each set of equivalent atoms:
Ac 0.029 0.000 0.278 (multiplicity 4)
Ac 0.095 0.500 0.967 (multiplicity 4)
Ac 0.164 0.500 0.493 (multiplicity 4)
Ac 0.214 0.000 0.841 (multiplicity 4)
Si 0.187 0.000 0.246 (multiplicity 4)
Ge 0.000 0.500 0.500 (multiplicity 2)


(3)
Y2TlPdO5 | GGA-PBE | relaxed

Properties
DOS(E_F)	9.49	states/eV per cell
uncorrected formation energy	-2074	meV/atom
E	-7.11	eV per atom

abc: 6.641 6.641 5.838
angles: 90.00 90.00 90.00
Space group P4/mbm (No. 127)
One atom of each set of equivalent atoms:
Y 0.173 0.327 0.000 (multiplicity 4)
Tl 0.000 0.000 0.500 (multiplicity 2)
Pd 0.000 0.500 0.500 (multiplicity 2)
O 0.000 0.000 0.000 (multiplicity 2)
O 0.135 0.635 0.233 (multiplicity 8)


(4)
Pm3Si4Ru2 | GGA-PBE | relaxed

Properties
DOS(E_F)	10.43	states/eV per cell
uncorrected formation energy	-788	meV/atom
E	-6.84	eV per atom

abc: 11.074 4.188 8.204
angles: 90.00 108.59 90.00
Space group C2/m (No. 12)
One atom of each set of equivalent atoms:
Pm 0.000 0.000 0.000 (multiplicity 2)
Pm 0.112 0.500 0.696 (multiplicity 4)
Si 0.109 0.000 0.406 (multiplicity 4)
Si 0.221 0.500 0.078 (multiplicity 4)
Ru 0.190 0.500 0.356 (multiplicity 4)


(5)
MgTcOs2 | GGA-PBE | relaxed

Properties
DOS(E_F)	12.86	states/eV per cell
energy of formation	0.14	eV/atom
E	-8.47	eV per atom

abc: 2.7791 2.7791 26.9899
angles: 90.00 90.00 120.00
Space group R-3m (No. 166, hexagonal axes)
One atom of each set of equivalent atoms:
Mg 0.0000 0.0000 0.0000 (multiplicity 3)
Tc 0.0000 0.0000 0.5000 (multiplicity 3)
Os 0.0000 0.0000 0.2460 (multiplicity 6)


(6)
La3Nd12Bi5 | GGA-PBE | relaxed

Properties
DOS(E_F)	250.81	states/eV per cell
energy of formation	0.16	eV/atom
E	-4.41	eV per atom

abc: 19.006 19.006 19.006
angles: 90.00 90.00 90.00
Space group Ia-3d (No. 230)
One atom of each set of equivalent atoms:
La 0.000 0.250 0.125 (multiplicity 24)
Nd 0.024 0.077 0.647 (multiplicity 96)
Bi 0.000 0.000 0.000 (multiplicity 16)
Bi 0.000 0.250 0.375 (multiplicity 24)


(7)
Tb16Nd6Tm7 | GGA-PBE | relaxed

Properties
DOS(E_F)	212.07	states/eV per cell
energy of formation	0.23	eV/atom
E	-4.39	eV per atom

abc: 15.782 15.782 15.782
angles: 90.00 90.00 90.00
Space group Fm-3m (No. 225)
One atom of each set of equivalent atoms:
Tb 0.125 0.125 0.125 (multiplicity 32)
Tb 0.152 0.152 0.348 (multiplicity 32)
Nd 0.000 0.000 0.276 (multiplicity 24)
Tm 0.000 0.000 0.000 (multiplicity 4)
Tm 0.000 0.250 0.250 (multiplicity 24)


(8)
BaMg2AlCd4 | GGA-PBE | relaxed

Properties
DOS(E_F)	10.85	states/eV per cell
energy of formation	-0.11	eV/atom
E	-1.68	eV per atom

abc: 4.8653 4.8653 31.0915
angles: 90.00 90.00 120.00
Space group R-3m (No. 166, hexagonal axes)
One atom of each set of equivalent atoms:
Ba 0.0000 0.0000 0.0000 (multiplicity 3)
Mg 0.0000 0.0000 0.2347 (multiplicity 6)
Al 0.0000 0.0000 0.5000 (multiplicity 3)
Cd 0.0000 0.0000 0.1314 (multiplicity 6)
Cd 0.0000 0.0000 0.4052 (multiplicity 6)


For each record above, in turn, the calculated size of the total moment values are 0.000, 0.000, 0.098, 0.000, 0.000, 0.120, 0.001, 0.000 μB per atom.